1.
# CaCoPb4 | the Alexandria database | PBE-GGA | relaxed
data_CaCoPb4
_chemical_formula_sum 'Ca1 Co1 Pb4'
_cell_length_a 6.3949
_cell_length_b 6.3949
_cell_length_c 6.3949
_cell_angle_alpha 60.00
_cell_angle_beta 60.00
_cell_angle_gamma 60.00
_space_group_name_H-M_alt 'P 1'
_space_group_IT_number 1
loop_
_space_group_symop_operation_xyz
'x,y,z'
loop_
_atom_site_label
_atom_site_type_symbol
_atom_site_fract_x
_atom_site_fract_y
_atom_site_fract_z
_atom_site_occupancy
Ca1 Ca 0.0000 0.0000 0.0000 1
Co1 Co 0.7500 0.7500 0.7500 1
Pb1 Pb 0.3751 0.3751 0.3751 1
Pb2 Pb 0.3751 0.3751 0.8747 1
Pb3 Pb 0.3751 0.8747 0.3751 1
Pb4 Pb 0.8747 0.3751 0.3751 1
# ΔH_f (0 K) = 243 kJ/mol of formula units
# Total DFT energy (no corrections) = -3.571 eV per atom

2.
# CaCoPb2 | the Alexandria database | PBE-GGA | relaxed
data_CaCoPb2
_chemical_formula_sum 'Ca1 Co1 Pb2'
_cell_length_a 5.9363
_cell_length_b 5.9363
_cell_length_c 5.9363
_cell_angle_alpha 145.45
_cell_angle_beta 122.38
_cell_angle_gamma 68.96
_space_group_name_H-M_alt 'P 1'
_space_group_IT_number 1
loop_
_space_group_symop_operation_xyz
'x,y,z'
loop_
_atom_site_label
_atom_site_type_symbol
_atom_site_fract_x
_atom_site_fract_y
_atom_site_fract_z
_atom_site_occupancy
Ca1 Ca 0.0000 0.0000 0.0000 1
Co1 Co 0.5000 0.5000 0.0000 1
Pb1 Pb 0.2932 0.7932 0.5000 1
Pb2 Pb 0.7068 0.2068 0.5000 1
# ΔH_f (0 K) = 21 kJ/mol of formula units
# Total DFT energy (no corrections) = -4.076 eV per atom

3.
# CaCoPb2 | the Alexandria database | PBE-GGA | relaxed
data_CaCoPb2
_chemical_formula_sum 'Ca1 Co1 Pb2'
_cell_length_a 6.2970
_cell_length_b 6.2970
_cell_length_c 6.2970
_cell_angle_alpha 41.51
_cell_angle_beta 41.51
_cell_angle_gamma 41.51
_space_group_name_H-M_alt 'P 1'
_space_group_IT_number 1
loop_
_space_group_symop_operation_xyz
'x,y,z'
loop_
_atom_site_label
_atom_site_type_symbol
_atom_site_fract_x
_atom_site_fract_y
_atom_site_fract_z
_atom_site_occupancy
Ca1 Ca 0.0000 0.0000 0.0000 1
Co1 Co 0.5000 0.5000 0.5000 1
Pb1 Pb 0.2235 0.2235 0.2235 1
Pb2 Pb 0.7765 0.7765 0.7765 1
# ΔH_f (0 K) = 3 kJ/mol of formula units
# Total DFT energy (no corrections) = -4.124 eV per atom

4.
# CaCoPb | the Alexandria database | PBE-GGA | relaxed
data_CaCoPb
_chemical_formula_sum 'Ca1 Co1 Pb1'
_cell_length_a 4.9059
_cell_length_b 4.9059
_cell_length_c 4.9059
_cell_angle_alpha 60.00
_cell_angle_beta 60.00
_cell_angle_gamma 60.00
_space_group_name_H-M_alt 'P 1'
_space_group_IT_number 1
loop_
_space_group_symop_operation_xyz
'x,y,z'
loop_
_atom_site_label
_atom_site_type_symbol
_atom_site_fract_x
_atom_site_fract_y
_atom_site_fract_z
_atom_site_occupancy
Ca1 Ca 0.0000 0.0000 0.0000 1
Co1 Co 0.2500 0.2500 0.2500 1
Pb1 Pb 0.7500 0.7500 0.7500 1
# ΔH_f (0 K) = 224 kJ/mol of formula units
# Total DFT energy (no corrections) = -3.498 eV per atom